No. 1
Computed, not measured: a relaxed V4PtRh12 crystal at the PBE-GGA level of DFT.

Cell and atoms, written as CIF:
```
data_V4PtRh12
_symmetry_space_group_name_H-M 'I m -3 m'
_symmetry_Int_Tables_number 229
_symmetry_space_group_name_Hall '-I 4 2 3'
_cell_length_a 8.008
_cell_length_b 8.008
_cell_length_c 8.008
_cell_angle_alpha 90.00
_cell_angle_beta 90.00
_cell_angle_gamma 90.00
loop_
_atom_site_label
_atom_site_type_symbol
_atom_site_fract_x
_atom_site_fract_y
_atom_site_fract_z
_atom_site_occupancy
V1 V 0.250 0.250 0.250 1
Pt1 Pt 0.000 0.000 0.000 1
Rh1 Rh 0.000 0.000 0.300 1
Rh2 Rh 0.000 0.250 0.500 1
```

Formation enthalpy at 0 K, kJ/mol of atoms: 12.1

No. 2
Computed, not measured: a relaxed LaCdHW2 crystal at the PBE-GGA level of DFT.

Cell and atoms, written as CIF:
```
data_LaCdHW2
_symmetry_space_group_name_H-M 'P 4/m m m'
_symmetry_Int_Tables_number 123
_symmetry_space_group_name_Hall '-P 4 2'
_cell_length_a 5.126
_cell_length_b 5.126
_cell_length_c 3.644
_cell_angle_alpha 90.00
_cell_angle_beta 90.00
_cell_angle_gamma 90.00
loop_
_atom_site_label
_atom_site_type_symbol
_atom_site_fract_x
_atom_site_fract_y
_atom_site_fract_z
_atom_site_occupancy
La1 La 0.000 0.000 0.000 1
Cd1 Cd 0.500 0.500 0.500 1
H1 H 0.000 0.000 0.500 1
W1 W 0.000 0.500 0.000 1
```

VASP energy, eV per atom: -5.034

No. 3
Computed, not measured: a relaxed AgAs4Pb crystal at the PBE-GGA level of DFT.

Cell and atoms, written as CIF:
```
data_AgAs4Pb
_symmetry_space_group_name_H-M 'F -4 3 m'
_symmetry_Int_Tables_number 216
_symmetry_space_group_name_Hall 'F -4 2 3'
_cell_length_a 8.086
_cell_length_b 8.086
_cell_length_c 8.086
_cell_angle_alpha 90.00
_cell_angle_beta 90.00
_cell_angle_gamma 90.00
loop_
_atom_site_label
_atom_site_type_symbol
_atom_site_fract_x
_atom_site_fract_y
_atom_site_fract_z
_atom_site_occupancy
Ag1 Ag 0.000 0.000 0.000 1
As1 As 0.127 0.127 0.627 1
Pb1 Pb 0.250 0.250 0.250 1
```

Formation enthalpy at 0 K, kJ/mol of atoms: 32.0